{
  "formula": "BeRhSe2",
  "functional": "PBE",
  "state": "optimized geometry",
  "lattice": [[4.067, 0.000, 0.000], [0.000, 4.304, 0.000], [-1.361, 0.000, 3.887]],
  "species": ["Be", "Rh", "Se", "Se"],
  "frac_coords": [[0.000, 0.000, 0.000], [0.190, 0.500, 0.804], [0.383, 0.000, 0.617], [0.819, 0.500, 0.180]],
  "e_form_raw_ev_per_atom": -0.2129,
  "magnetic_moment_mub_per_atom": 0.000
}